## AcErCd2Hg4 (PBE)

Data for a relaxed AcErCd2Hg4 crystal.

Structure (POSCAR):
```
AcErCd2Hg4
1.0
2.600 1.501 8.692
-2.600 1.501 8.692
0.000 -3.002 8.692
Ac Er Cd Hg
1 1 2 4
Direct
0.000 0.000 0.000
0.500 0.500 0.500
0.249 0.249 0.249
0.751 0.751 0.751
0.131 0.131 0.131
0.383 0.383 0.383
0.617 0.617 0.617
0.869 0.869 0.869
```

**Energy**: -1.837 eV/atom
**SG**: R-3m, No. 166
**Theoretical density**: 11596 kg/m³
**Fermi-level density of states**: 2.8 states/eV/f.u.
**Size of the total moment**: 0.0 Bohr magnetons per cell